1.
First-principles (PBE-GGA) data for an optimized crystal structure of TbCeEr2Tm, as listed in Alexandria via LeMat-Bulk.

Output
volume: 31.6 Å³/atom
N(E_F): 1.953 states/eV/atom
formation energy: 0.3039 eV/atom

abc: 7.2685 7.5715 5.7489
angles: 90.00 90.00 90.00
Closest atoms and distances in Å follow each position.
Sites, in units of the cell vectors:
Tb (0.1573, 0.5000, 0.7500)  6 Er 3.50-3.85, 2 Tb 3.67
Er (0.6747, 0.2907, 0.7500)  1 Tm 3.06, 1 Er 3.17
Er (0.3253, 0.7093, 0.2500)  1 Tm 3.06, 1 Er 3.17
Ce (0.0000, 0.0000, 0.0000)  2 Ce 2.87, 2 Tm 3.13
Tm (0.3829, 0.0000, 0.7500)  2 Er 3.06, 2 Ce 3.13, 2 Tm 3.34
Ce (0.0000, 0.0000, 0.5000)  2 Ce 2.87, 2 Tm 3.13
Tm (0.6171, 0.0000, 0.2500)  2 Er 3.06, 2 Ce 3.13, 2 Tm 3.34
Er (0.3253, 0.2907, 0.2500)  1 Tm 3.06, 1 Er 3.17
Er (0.6747, 0.7093, 0.7500)  1 Tm 3.06, 1 Er 3.17
Tb (0.8427, 0.5000, 0.2500)  6 Er 3.50-3.85, 2 Tb 3.67

2.
First-principles (PBE-GGA) data for an optimized crystal structure of Sc4Zn2Au, as listed in Alexandria via LeMat-Bulk.

Output
volume: 20.9 Å³/atom
N(E_F): 1.371 states/eV/atom
formation energy: -0.3058 eV/atom

abc: 4.7196 4.7196 8.0622
angles: 72.98 72.98 60.00
Closest atoms and distances in Å follow each position.
Sites, in units of the cell vectors:
Sc (0.6188, 0.6188, 0.1435)  4 Zn 2.84-2.97, 3 Au 2.93
Zn (0.2506, 0.2506, 0.2483)  8 Sc 2.77-2.97
Au (0.0000, 0.0000, 0.0000)  8 Sc 2.93
Zn (0.7494, 0.7494, 0.7517)  8 Sc 2.77-2.97
Sc (0.3812, 0.3812, 0.8565)  4 Zn 2.84-2.97, 3 Au 2.93
Sc (0.1287, 0.1287, 0.6139)  4 Zn 2.77-2.92, 1 Au 2.93
Sc (0.8713, 0.8713, 0.3861)  4 Zn 2.77-2.92, 1 Au 2.93

3.
First-principles (PBE-GGA) data for an optimized crystal structure of YHgGe4, as listed in Alexandria via LeMat-Bulk.

Output
volume: 21.0 Å³/atom
N(E_F): 0.277 states/eV/atom
formation energy: -0.1559 eV/atom

abc: 5.6303 5.6303 5.6303
angles: 60.00 60.00 60.00
Closest atoms and distances in Å follow each position.
Sites, in units of the cell vectors:
Ge (0.1271, 0.6243, 0.6243)  6 Ge 2.80-2.83
Hg (0.0000, 0.0000, 0.0000)  12 Ge 3.30, 4 Y 3.45
Ge (0.6243, 0.6243, 0.1271)  6 Ge 2.80-2.83
Ge (0.6243, 0.6243, 0.6243)  6 Ge 2.80-2.83
Ge (0.6243, 0.1271, 0.6243)  6 Ge 2.80-2.83
Y (0.2500, 0.2500, 0.2500)  12 Ge 3.30, 4 Hg 3.45

4.
First-principles (PBE-GGA) data for an optimized crystal structure of LiSmSi2Ir, as listed in Alexandria via LeMat-Bulk.

Output
volume: 17.0 Å³/atom
N(E_F): 0.583 states/eV/atom
final energy: -0.44400 Ry/atom

abc: 4.1068 4.1068 5.8216
angles: 110.65 110.65 90.00
Closest atoms and distances in Å follow each position.
Sites, in units of the cell vectors:
Ir (0.7500, 0.2500, 0.5000)  4 Si 2.43
Si (0.3794, 0.3794, 0.7589)  1 Si 2.43, 2 Li 2.43, 2 Ir 2.43
Sm (0.0000, 0.0000, 0.0000)  8 Si 3.15, 4 Li 3.25, 4 Ir 3.25
Si (0.6206, 0.6206, 0.2411)  1 Si 2.43, 2 Li 2.43, 2 Ir 2.43
Li (0.2500, 0.7500, 0.5000)  4 Si 2.43